{"formula": "Y2SbWF", "functional": "GGA+U", "state": "optimized geometry", "e_tot_ev_per_atom": -5.498, "spacegroup": "P4/mmm, No. 123", "lattice": [[5.669, 0.000, 0.000], [0.000, 5.669, 0.000], [0.000, 0.000, 4.202]], "species": ["Y", "Y", "Sb", "W", "F"], "fractional_positions": [[0.000, 0.500, 0.000], [0.500, 0.000, 0.000], [0.000, 0.000, 0.500], [0.500, 0.500, 0.000], [0.500, 0.500, 0.500]]}